--- 1 ---
## Na3NiB2O6 (PBE with a Hubbard U)

Data for crystalline Na3NiB2O6 at its relaxed geometry.

abc: 5.181 5.181 6.065
angles: 90.00 90.00 120.00
Element x y z (fractional)
Na 0.000 0.000 0.000
Na 0.333 0.667 0.734
Na 0.667 0.333 0.266
Ni 0.000 0.000 0.500
B 0.333 0.667 0.283
B 0.667 0.333 0.717
O 0.180 0.360 0.281
O 0.180 0.820 0.281
O 0.360 0.180 0.719
O 0.640 0.820 0.281
O 0.820 0.180 0.719
O 0.820 0.640 0.719


--- 2 ---
## Na3NiB2O6 (PBE with a Hubbard U)

Data for crystalline Na3NiB2O6 at its relaxed geometry.

abc: 5.553 9.255 11.471
angles: 90.00 115.13 90.00
Element x y z (fractional)
Na 0.024 0.058 0.381
Na 0.024 0.442 0.881
Na 0.051 0.134 0.873
Na 0.051 0.366 0.373
Na 0.457 0.543 0.630
Na 0.457 0.957 0.130
Na 0.543 0.043 0.870
Na 0.543 0.457 0.370
Na 0.949 0.634 0.627
Na 0.949 0.866 0.127
Na 0.976 0.558 0.119
Na 0.976 0.942 0.619
Ni 0.470 0.716 0.879
Ni 0.470 0.784 0.379
Ni 0.530 0.216 0.621
Ni 0.530 0.284 0.121
B 0.034 0.699 0.384
B 0.034 0.801 0.884
B 0.460 0.637 0.134
B 0.460 0.863 0.634
B 0.540 0.137 0.366
B 0.540 0.363 0.866
B 0.966 0.199 0.116
B 0.966 0.301 0.616
O 0.092 0.667 0.849
O 0.092 0.833 0.349
O 0.186 0.170 0.094
O 0.186 0.330 0.594
O 0.224 0.594 0.398
O 0.224 0.906 0.898
O 0.331 0.733 0.183
O 0.331 0.767 0.683
O 0.387 0.194 0.423
O 0.387 0.306 0.923
O 0.412 0.009 0.642
O 0.412 0.491 0.142
O 0.588 0.509 0.858
O 0.588 0.991 0.358
O 0.613 0.694 0.077
O 0.613 0.806 0.577
O 0.669 0.233 0.317
O 0.669 0.267 0.817
O 0.776 0.094 0.102
O 0.776 0.406 0.602
O 0.814 0.670 0.406
O 0.814 0.830 0.906
O 0.908 0.167 0.651
O 0.908 0.333 0.151


2 is preferred energetically. Next in line: 8 meV/atom higher.